Entry 1:
Density functional theory data (PBE) for a geometry-optimized Zn2SbAu structure.

The structure in POSCAR format:
```
Zn2SbAu
1.0
-1.589 2.101 6.166
1.589 -2.101 6.166
1.589 2.101 -6.166
Zn Sb Au
2 1 1
Cartesian
0.000 0.000 0.000
0.000 2.101 2.048
0.000 0.000 4.829
1.589 0.000 2.257
```

Properties
Symmetry: Imm2
Raw total energy in eV per atom: -2.4734
Uncorrected formation energy in meV per atom: 13

Entry 2:
Density functional theory data (PBE) for a geometry-optimized ZnSb2Au structure.

The structure in POSCAR format:
```
ZnSb2Au
1.0
-2.021 2.738 4.142
2.021 -2.738 4.142
2.021 2.738 -4.142
Zn Sb Au
1 2 1
Cartesian
0.000 0.000 0.000
2.021 0.000 2.078
0.000 2.738 2.064
0.000 0.000 4.142
```

Properties
Symmetry: Immm
Raw total energy in eV per atom: -3.0519
Uncorrected formation energy in meV per atom: 147

Entry 3:
Density functional theory data (PBE) for a geometry-optimized Zn2SbAu8 structure.

The structure in POSCAR format:
```
Zn2SbAu8
1.0
7.695 -2.024 0.000
7.695 2.024 0.000
-1.932 0.000 6.440
Zn Sb Au
2 1 8
Cartesian
3.016 0.000 1.031
10.442 0.000 5.408
6.729 0.000 3.220
0.236 0.000 1.425
1.056 0.000 4.726
3.834 0.000 3.689
6.055 0.000 0.211
7.403 0.000 6.229
9.624 0.000 2.750
12.402 0.000 1.714
13.222 0.000 5.015
```

Properties
Symmetry: C2/m
Raw total energy in eV per atom: -3.0645
Uncorrected formation energy in meV per atom: -75

Entry 4:
Density functional theory data (PBE) for a geometry-optimized ZnSb2Au structure.

The structure in POSCAR format:
```
ZnSb2Au
1.0
4.604 0.000 0.000
0.000 2.711 3.957
0.000 -2.711 3.957
Zn Sb Au
1 2 1
Cartesian
0.000 0.000 0.000
0.000 0.000 2.949
2.302 0.000 6.332
2.302 0.000 1.361
```

Properties
Symmetry: Amm2
Raw total energy in eV per atom: -3.2178
Uncorrected formation energy in meV per atom: -19